Entry 1:
Computed, not measured: a PBEsol-optimized structure of Ga2SiAsF at the SCAN level of DFT.

Computed properties:
The uncorrected energy comes out at -13.071 eV/atom.

Cell lengths 4.5028, 4.5028, 4.4967 Å; angles 90.00, 90.00, 90.00 degrees
Element x y z (fractional)
Ga 0.0000 0.5000 0.0000
Ga 0.5000 0.0000 0.0000
Si 0.0000 0.0000 0.5000
As 0.5000 0.5000 0.5000
F 0.5000 0.5000 0.0000

Entry 2:
Computed, not measured: a PBEsol-optimized structure of CaScS2 at the SCAN level of DFT.

Computed properties:
The uncorrected energy comes out at -12.547 eV/atom.

Cell lengths 3.7945, 3.7945, 24.1945 Å; angles 90.00, 90.00, 120.00 degrees
Element x y z (fractional)
Ca 0.0000 0.0000 0.0000
Ca 0.3333 0.6667 0.6667
Ca 0.6667 0.3333 0.3333
Sc 0.0000 0.0000 0.5000
Sc 0.3333 0.6667 0.1667
Sc 0.6667 0.3333 0.8333
S 0.0000 0.0000 0.1102
S 0.0000 0.0000 0.8898
S 0.3333 0.6667 0.5565
S 0.3333 0.6667 0.7769
S 0.6667 0.3333 0.2231
S 0.6667 0.3333 0.4435

Entry 3:
Computed, not measured: a PBEsol-optimized structure of Tm5Ga3 at the SCAN level of DFT.

Computed properties:
As for the calculated formation energy: -0.553 eV per atom.

Cell lengths 8.3748, 8.3748, 6.2673 Å; angles 90.00, 90.00, 120.00 degrees
Element x y z (fractional)
Tm 0.0000 0.2431 0.2500
Tm 0.0000 0.7569 0.7500
Tm 0.2431 0.0000 0.2500
Tm 0.2431 0.2431 0.7500
Tm 0.3333 0.6667 0.0000
Tm 0.3333 0.6667 0.5000
Tm 0.6667 0.3333 0.0000
Tm 0.6667 0.3333 0.5000
Tm 0.7569 0.0000 0.7500
Tm 0.7569 0.7569 0.2500
Ga 0.0000 0.4007 0.7500
Ga 0.0000 0.5993 0.2500
Ga 0.4007 0.0000 0.7500
Ga 0.4007 0.4007 0.2500
Ga 0.5993 0.0000 0.2500
Ga 0.5993 0.5993 0.7500

Entry 4:
Computed, not measured: a PBEsol-optimized structure of CuPO4 at the SCAN level of DFT.

Computed properties:
The uncorrected energy comes out at -9.952 eV/atom.

Cell lengths 8.8130, 8.8130, 8.8130 Å; angles 110.57, 110.57, 110.57 degrees
Element x y z (fractional)
Cu 0.1045 0.8183 0.7082
Cu 0.1498 0.3215 0.5287
Cu 0.3215 0.5287 0.1498
Cu 0.5287 0.1498 0.3215
Cu 0.7082 0.1045 0.8183
Cu 0.8183 0.7082 0.1045
P 0.0780 0.1913 0.7822
P 0.1913 0.7822 0.0780
P 0.3449 0.6881 0.5241
P 0.5241 0.3449 0.6881
P 0.6881 0.5241 0.3449
P 0.7822 0.0780 0.1913
O 0.0062 0.2361 0.6251
O 0.0437 0.9918 0.6775
O 0.2038 0.8809 0.9648
O 0.2361 0.6251 0.0062
O 0.2394 0.6160 0.3070
O 0.2467 0.7713 0.6073
O 0.2958 0.3396 0.9466
O 0.3070 0.2394 0.6160
O 0.3402 0.5238 0.5538
O 0.3396 0.9466 0.2958
O 0.5238 0.5538 0.3402
O 0.5538 0.3402 0.5238
O 0.5574 0.8438 0.6175
O 0.6073 0.2467 0.7713
O 0.6160 0.3070 0.2394
O 0.6175 0.5574 0.8438
O 0.6251 0.0062 0.2361
O 0.6775 0.0437 0.9918
O 0.7713 0.6073 0.2467
O 0.8438 0.6175 0.5574
O 0.8809 0.9648 0.2038
O 0.9466 0.2958 0.3396
O 0.9648 0.2038 0.8809
O 0.9918 0.6775 0.0437